No. 1
# ErZn2GaCo2 (PBE-GGA, optimized geometry)
# - spin magnetization (μB per formula unit) = 1.5
# - E (eV per atom) = -4.01
# - E_form (eV/f.u.) = 0.27
data_ErZn2GaCo2
_chemical_formula_sum 'Er1 Zn2 Ga1 Co2'
_space_group_name_H-M_alt 'P 4/m m m'
_space_group_IT_number 123
_space_group_name_Hall '-P 4 2'
_cell_length_a 4.3705
_cell_length_b 4.3705
_cell_length_c 5.4477
_cell_angle_alpha 90.00
_cell_angle_beta 90.00
_cell_angle_gamma 90.00
loop_
_atom_site_label
_atom_site_fract_x
_atom_site_fract_y
_atom_site_fract_z
_atom_site_occupancy
Er1 0.0000 0.0000 0.0000 1
Zn1 0.5000 0.5000 0.2452 1
Ga1 0.0000 0.0000 0.5000 1
Co1 0.0000 0.5000 0.5000 1

=====

No. 2
# Cs2RbPtO4 (PBE-GGA, optimized geometry)
# - spin magnetization (μB per formula unit) = 3.0
# - energy relative to the elements, uncorrected (meV/atom) = -859
# - E (eV per atom) = -4.43
data_Cs2RbPtO4
_chemical_formula_sum 'Cs16 Rb8 Pt8 O32'
_space_group_name_H-M_alt 'F d d d'
_space_group_IT_number 70
_cell_length_a 7.2860
_cell_length_b 14.4290
_cell_length_c 22.7508
_cell_angle_alpha 90.00
_cell_angle_beta 90.00
_cell_angle_gamma 90.00
loop_
_space_group_symop_operation_xyz
'x,y,z'
'-x,-y,-z'
'-x+1/4,-y+1/4,z'
'x+1/4,y+1/4,-z'
'x,-y+1/4,-z+1/4'
'-x,y+1/4,z+1/4'
'-x+1/4,y,-z+1/4'
'x+1/4,-y,z+1/4'
'x,y+1/2,z+1/2'
'-x,-y+1/2,-z+1/2'
'-x+1/4,-y+3/4,z+1/2'
'x+1/4,y+3/4,-z+1/2'
'x,-y+3/4,-z+3/4'
'-x,y+3/4,z+3/4'
'-x+1/4,y+1/2,-z+3/4'
'x+1/4,-y+1/2,z+3/4'
'x+1/2,y,z+1/2'
'-x+1/2,-y,-z+1/2'
'-x+3/4,-y+1/4,z+1/2'
'x+3/4,y+1/4,-z+1/2'
'x+1/2,-y+1/4,-z+3/4'
'-x+1/2,y+1/4,z+3/4'
'-x+3/4,y,-z+3/4'
'x+3/4,-y,z+3/4'
'x+1/2,y+1/2,z'
'-x+1/2,-y+1/2,-z'
'-x+3/4,-y+3/4,z'
'x+3/4,y+3/4,-z'
'x+1/2,-y+3/4,-z+1/4'
'-x+1/2,y+3/4,z+1/4'
'-x+3/4,y+1/2,-z+1/4'
'x+3/4,-y+1/2,z+1/4'
loop_
_atom_site_label
_atom_site_fract_x
_atom_site_fract_y
_atom_site_fract_z
_atom_site_occupancy
Cs1 0.1250 0.1250 0.3085 1
Rb1 0.1250 0.1250 0.1250 1
Pt1 0.1250 0.1250 0.6250 1
O1 0.0590 0.2801 0.8753 1